Here is a relaxed structure of Zn2Cu3 from the Alexandria database. Energies are from PBEsol.

Computed properties:
Offset from the most stable computed form   0.15 eV per formula unit
Spin magnetization   0.00 Bohr magnetons per cell
Density of states at the Fermi level   1.3 states/eV/f.u.
SG   R-3m, No. 166
Energy relative to the elements   -0.047 eV per atom

Lattice parameters (Å, degrees): 2.6074 2.6074 30.9275 90.00 90.00 120.00
With the nearest neighbours (Å) after each atom.
Fractional positions:
1 Zn 0.0000 0.0000 0.0995  6 Cu 2.56-2.57, 6 Zn 2.61
2 Zn 0.0000 0.0000 0.9005  6 Cu 2.56-2.57, 6 Zn 2.61
3 Zn 0.3333 0.6667 0.5672  6 Cu 2.56-2.57, 6 Zn 2.61
4 Zn 0.3333 0.6667 0.7662  6 Cu 2.56-2.57, 6 Zn 2.61
5 Zn 0.6667 0.3333 0.2338  6 Cu 2.56-2.57, 6 Zn 2.61
6 Zn 0.6667 0.3333 0.4328  6 Cu 2.56-2.57, 6 Zn 2.61
7 Cu 0.0000 0.0000 0.3009  9 Cu 2.51-2.61, 3 Zn 2.56
8 Cu 0.0000 0.0000 0.5000  6 Zn 2.57, 6 Cu 2.61
9 Cu 0.0000 0.0000 0.6991  9 Cu 2.51-2.61, 3 Zn 2.56
10 Cu 0.3333 0.6667 0.1667  6 Zn 2.57, 6 Cu 2.61
11 Cu 0.3333 0.6667 0.3657  9 Cu 2.51-2.61, 3 Zn 2.56
12 Cu 0.3333 0.6667 0.9676  9 Cu 2.51-2.61, 3 Zn 2.56
13 Cu 0.6667 0.3333 0.0324  9 Cu 2.51-2.61, 3 Zn 2.56
14 Cu 0.6667 0.3333 0.6343  9 Cu 2.51-2.61, 3 Zn 2.56
15 Cu 0.6667 0.3333 0.8333  6 Zn 2.57, 6 Cu 2.61

Here is a relaxed structure of KLiTa2 from the Alexandria database. Energies are from PBEsol.

Computed properties:
Offset from the most stable computed form   0.00 eV per formula unit
Spin magnetization   0.00 Bohr magnetons per cell
Density of states at the Fermi level   3.2 states/eV/f.u.
SG   Pm, No. 6
Energy relative to the elements   0.718 eV per atom

Lattice parameters (Å, degrees): 3.0274 3.7372 8.7348 90.00 90.11 90.00
With the nearest neighbours (Å) after each atom.
Fractional positions:
1 K 0.0000 0.0000 0.0000  2 K 3.03
2 Li 0.5003 0.5000 0.3344  5 Ta 2.92-2.96, 2 Li 3.03
3 Ta 0.0020 0.0000 0.5234  6 Ta 2.74-3.03, 4 Li 2.92
4 Ta 0.5030 0.5000 0.6737  6 Ta 2.74-3.03, 1 Li 2.96

Here is a relaxed structure of LiCaTi3 from the Alexandria database. Energies are from PBEsol.

Computed properties:
Spin magnetization   1.07 Bohr magnetons per cell
Density of states at the Fermi level   10.1 states/eV/f.u.
SG   Pm-3m, No. 221
Energy relative to the elements   0.965 eV per atom

Lattice parameters (Å, degrees): 4.6543 4.6543 4.6543 90.00 90.00 90.00
With the nearest neighbours (Å) after each atom.
Fractional positions:
1 Li 0.0000 0.0000 0.0000  6 Ti 2.33
2 Ca 0.5000 0.5000 0.5000  12 Ti 3.29
3 Ti 0.0000 0.0000 0.5000  2 Li 2.33
4 Ti 0.0000 0.5000 0.0000  2 Li 2.33
5 Ti 0.5000 0.0000 0.0000  2 Li 2.33

Here is a relaxed structure of YIn2Pt from the Alexandria database. Energies are from PBEsol.

Computed properties:
Spin magnetization   0.00 Bohr magnetons per cell
Density of states at the Fermi level   1.6 states/eV/f.u.
SG   P4mm, No. 99
Energy relative to the elements   -0.553 eV per atom

Lattice parameters (Å, degrees): 3.5979 3.5979 6.7339 90.00 90.00 90.00
With the nearest neighbours (Å) after each atom.
Fractional positions:
1 Y 0.0000 0.0000 0.0000  4 Pt 2.93, 5 In 3.01-3.24
2 In 0.0000 0.0000 0.5523  4 Pt 2.98, 1 Y 3.01, 4 In 3.07
3 In 0.5000 0.5000 0.2971  4 In 3.07, 4 Y 3.24, 1 Pt 3.28
4 Pt 0.5000 0.5000 0.7835  4 Y 2.93, 5 In 2.98-3.28

Here is a relaxed structure of KErMo2O8 from the Alexandria database. Energies are from PBEsol.

Computed properties:
Spin magnetization   0.00 Bohr magnetons per cell
E_form (uncorrected)   -56.903 kcal/mol of atoms
Density of states at the Fermi level   0.0 states/eV/f.u.
SG   C2/c, No. 15

Lattice parameters (Å, degrees): 7.3140 7.3140 7.5997 118.22 118.22 88.15
With the nearest neighbours (Å) after each atom.
Fractional positions:
1 K 0.1981 0.8019 0.7500  8 O 2.71-3.03
2 K 0.8019 0.1981 0.2500  8 O 2.71-3.03
3 Er 0.2305 0.7695 0.2500  6 O 2.23-2.31
4 Er 0.7695 0.2305 0.7500  6 O 2.23-2.31
5 Mo 0.3000 0.3054 0.7577  4 O 1.75-1.95
6 Mo 0.3054 0.3000 0.2577  4 O 1.75-1.95
7 Mo 0.6946 0.7000 0.7423  4 O 1.75-1.95
8 Mo 0.7000 0.6946 0.2423  4 O 1.75-1.95
9 O 0.0451 0.2029 0.6910  1 Mo 1.77
10 O 0.0701 0.3867 0.1214  1 Mo 1.82
11 O 0.2029 0.0451 0.1910  1 Mo 1.77
12 O 0.2258 0.3891 0.5575  1 Mo 1.75
13 O 0.3663 0.5842 0.0295  2 Mo 1.95-2.09
14 O 0.3867 0.0701 0.6214  1 Mo 1.82
15 O 0.3891 0.2258 0.0575  1 Mo 1.75
16 O 0.4158 0.6337 0.4705  2 Mo 1.95-2.09
17 O 0.5842 0.3663 0.5295  2 Mo 1.95-2.09
18 O 0.6109 0.7742 0.9425  1 Mo 1.75
19 O 0.6133 0.9299 0.3786  1 Mo 1.82
20 O 0.6337 0.4158 0.9705  2 Mo 1.95-2.09
21 O 0.7742 0.6109 0.4425  1 Mo 1.75
22 O 0.7971 0.9549 0.8090  1 Mo 1.77
23 O 0.9299 0.6133 0.8786  1 Mo 1.82
24 O 0.9549 0.7971 0.3090  1 Mo 1.77

Here is a relaxed structure of HfGaTeN2 from the Alexandria database. Energies are from PBEsol.

Computed properties:
Spin magnetization   0.18 Bohr magnetons per cell
E_form (uncorrected)   4.591 kcal/mol of atoms
Density of states at the Fermi level   3.5 states/eV/f.u.
SG   P4/mmm, No. 123

Lattice parameters (Å, degrees): 4.0796 4.0796 5.8841 90.00 90.00 90.00
With the nearest neighbours (Å) after each atom.
Fractional positions:
1 Hf 0.0000 0.0000 0.0000  4 N 2.04
2 Ga 0.5000 0.5000 0.5000  4 Te 2.88
3 Te 0.0000 0.0000 0.5000  4 Ga 2.88, 2 Hf 2.94
4 N 0.0000 0.5000 0.0000  2 Hf 2.04
5 N 0.5000 0.0000 0.0000  2 Hf 2.04

> Among the records above, which one has the highest spin magnetization?

LiCaTi3

Repeat the third record exactly.
Here is a relaxed structure of LiCaTi3 from the Alexandria database. Energies are from PBEsol.

Computed properties:
Spin magnetization   1.07 Bohr magnetons per cell
Density of states at the Fermi level   10.1 states/eV/f.u.
SG   Pm-3m, No. 221
Energy relative to the elements   0.965 eV per atom

Lattice parameters (Å, degrees): 4.6543 4.6543 4.6543 90.00 90.00 90.00
With the nearest neighbours (Å) after each atom.
Fractional positions:
1 Li 0.0000 0.0000 0.0000  6 Ti 2.33
2 Ca 0.5000 0.5000 0.5000  12 Ti 3.29
3 Ti 0.0000 0.0000 0.5000  2 Li 2.33
4 Ti 0.0000 0.5000 0.0000  2 Li 2.33
5 Ti 0.5000 0.0000 0.0000  2 Li 2.33

Please write out number 1 again, unchanged.
Here is a relaxed structure of Zn2Cu3 from the Alexandria database. Energies are from PBEsol.

Computed properties:
Offset from the most stable computed form   0.15 eV per formula unit
Spin magnetization   0.00 Bohr magnetons per cell
Density of states at the Fermi level   1.3 states/eV/f.u.
SG   R-3m, No. 166
Energy relative to the elements   -0.047 eV per atom

Lattice parameters (Å, degrees): 2.6074 2.6074 30.9275 90.00 90.00 120.00
With the nearest neighbours (Å) after each atom.
Fractional positions:
1 Zn 0.0000 0.0000 0.0995  6 Cu 2.56-2.57, 6 Zn 2.61
2 Zn 0.0000 0.0000 0.9005  6 Cu 2.56-2.57, 6 Zn 2.61
3 Zn 0.3333 0.6667 0.5672  6 Cu 2.56-2.57, 6 Zn 2.61
4 Zn 0.3333 0.6667 0.7662  6 Cu 2.56-2.57, 6 Zn 2.61
5 Zn 0.6667 0.3333 0.2338  6 Cu 2.56-2.57, 6 Zn 2.61
6 Zn 0.6667 0.3333 0.4328  6 Cu 2.56-2.57, 6 Zn 2.61
7 Cu 0.0000 0.0000 0.3009  9 Cu 2.51-2.61, 3 Zn 2.56
8 Cu 0.0000 0.0000 0.5000  6 Zn 2.57, 6 Cu 2.61
9 Cu 0.0000 0.0000 0.6991  9 Cu 2.51-2.61, 3 Zn 2.56
10 Cu 0.3333 0.6667 0.1667  6 Zn 2.57, 6 Cu 2.61
11 Cu 0.3333 0.6667 0.3657  9 Cu 2.51-2.61, 3 Zn 2.56
12 Cu 0.3333 0.6667 0.9676  9 Cu 2.51-2.61, 3 Zn 2.56
13 Cu 0.6667 0.3333 0.0324  9 Cu 2.51-2.61, 3 Zn 2.56
14 Cu 0.6667 0.3333 0.6343  9 Cu 2.51-2.61, 3 Zn 2.56
15 Cu 0.6667 0.3333 0.8333  6 Zn 2.57, 6 Cu 2.61

> What is the formula in the sixth record?

HfGaTeN2